[1]
# NdCuAgPb

An optimized crystal structure of NdCuAgPb (GGA-PBE, Alexandria via LeMat-Bulk).

Summary:
* SG: F-43m
* energy of formation from the pure elements: -0.217 eV/atom

a = 5.034 Å, b = 5.034 Å, c = 5.034 Å
α = 60.00°, β = 60.00°, γ = 60.00°
Fractional positions:
Nd1 0.000 0.000 0.000
Ag1 0.750 0.750 0.750
Pb1 0.500 0.500 0.500
Cu1 0.250 0.250 0.250



[2]
# BaGaI2Cl

An optimized crystal structure of BaGaI2Cl (GGA-PBE, Alexandria via LeMat-Bulk).

Summary:
* SG: P4/mmm
* formation energy from raw total energies: -0.677 eV/atom

a = 6.821 Å, b = 4.878 Å, c = 6.821 Å
α = 90.00°, β = 90.00°, γ = 90.00°
Fractional positions:
Ga1 0.000 0.500 0.000
Ba1 0.500 0.500 0.500
I1 0.000 0.000 0.500
I2 0.500 0.000 0.000
Cl1 0.000 0.000 0.000



[3]
# BaAu3

An optimized crystal structure of BaAu3 (GGA-PBE, Alexandria via LeMat-Bulk).

Summary:
* SG: P6_3/mmc
* energy of formation from the pure elements: -0.460 eV/atom

a = 7.161 Å, b = 7.161 Å, c = 4.793 Å
α = 90.00°, β = 90.00°, γ = 120.00°
Fractional positions:
Au1 0.863 0.727 0.250
Au2 0.137 0.863 0.750
Au3 0.863 0.137 0.250
Au4 0.727 0.863 0.750
Au5 0.273 0.137 0.250
Au6 0.137 0.273 0.750
Ba1 0.333 0.667 0.250
Ba2 0.667 0.333 0.750



[4]
# LiCdGe

An optimized crystal structure of LiCdGe (GGA-PBE, Alexandria via LeMat-Bulk).

Summary:
* SG: P4/nmm
* energy of formation from the pure elements: -0.085 eV/atom

a = 3.991 Å, b = 3.991 Å, c = 7.175 Å
α = 90.00°, β = 90.00°, γ = 90.01°
Fractional positions:
Cd1 0.837 0.337 0.146
Cd2 0.337 0.837 0.854
Ge1 0.337 0.837 0.243
Ge2 0.837 0.337 0.757
Li1 0.836 0.836 0.500
Li2 0.336 0.336 0.500



[5]
# Ac2La3Tl2

An optimized crystal structure of Ac2La3Tl2 (GGA-PBE, Alexandria via LeMat-Bulk).

Summary:
* SG: C2/m
* energy relative to the lowest polymorph listed for this composition: 13 meV per atom
* energy of formation from the pure elements: -0.189 eV/atom

a = 4.894 Å, b = 6.799 Å, c = 8.848 Å
α = 106.75°, β = 90.00°, γ = 111.09°
Fractional positions:
Ac1 0.140 0.280 0.784
Ac2 0.860 0.720 0.216
Tl1 0.158 0.316 0.201
Tl2 0.842 0.684 0.799
La1 0.632 0.264 0.450
La2 0.500 0.000 0.000
La3 0.368 0.736 0.550



[6]
# CaPa2

An optimized crystal structure of CaPa2 (GGA-PBE, Alexandria via LeMat-Bulk).

Summary:
* SG: Fd-3m
* energy of formation from the pure elements: 0.455 eV/atom

a = 6.246 Å, b = 6.246 Å, c = 6.246 Å
α = 60.00°, β = 60.00°, γ = 60.00°
Fractional positions:
Ca1 0.000 0.000 0.000
Ca2 0.250 0.250 0.250
Pa1 0.625 0.625 0.625
Pa2 0.625 0.125 0.625
Pa3 0.125 0.625 0.625
Pa4 0.625 0.625 0.125



Number 1: DFT total energy -4.073 eV per atom. Number 2: DFT total energy -2.656 eV per atom. Number 3: DFT total energy -3.398 eV per atom. Number 4: DFT total energy -2.567 eV per atom. Number 5: DFT total energy -4.151 eV per atom. Number 6: DFT total energy -6.543 eV per atom.